(1)
Material: Tm2HfPt9
Method: DFT, PBE-GGA
State: relaxed

* space-group type: No. 123
* energy of formation from the pure elements: -13.38 eV per formula unit
* total moment: 0.00 μB per atom

Unit cell a=4.0698 b=4.0698 c=12.2125 alpha=90.00 beta=90.00 gamma=90.00
Last column: nearest neighbours and their distance in Å.
Fractional positions:
Hf (0.0000, 0.0000, 0.0000)  12 Pt 2.83-2.88
Pt (0.0000, 0.5000, 0.1608)  2 Hf 2.83, 8 Pt 2.83-2.90, 2 Tm 2.93
Pt (0.5000, 0.0000, 0.1608)  2 Hf 2.83, 8 Pt 2.83-2.90, 2 Tm 2.93
Pt (0.5000, 0.5000, 0.3304)  4 Tm 2.88, 8 Pt 2.90
Pt (0.5000, 0.0000, 0.8392)  2 Hf 2.83, 8 Pt 2.83-2.90, 2 Tm 2.93
Pt (0.0000, 0.5000, 0.5000)  4 Tm 2.88, 8 Pt 2.88-2.90
Pt (0.5000, 0.0000, 0.5000)  4 Tm 2.88, 8 Pt 2.88-2.90
Pt (0.5000, 0.5000, 0.0000)  8 Pt 2.83, 4 Hf 2.88
Pt (0.5000, 0.5000, 0.6696)  4 Tm 2.88, 8 Pt 2.90
Pt (0.0000, 0.5000, 0.8392)  2 Hf 2.83, 8 Pt 2.83-2.90, 2 Tm 2.93
Tm (0.0000, 0.0000, 0.6666)  12 Pt 2.88-2.93
Tm (0.0000, 0.0000, 0.3334)  12 Pt 2.88-2.93


(2)
Material: SiTe2Ir
Method: DFT, PBE-GGA
State: relaxed

* space-group type: No. 122
* total moment: 0.00 μB per atom
* E: -4.8258 eV/atom

Unit cell a=6.0688 b=6.0688 c=7.4544 alpha=65.98 beta=65.98 gamma=90.00
Last column: nearest neighbours and their distance in Å.
Fractional positions:
Ir (0.7500, 0.2500, 0.5000)  4 Te 2.56
Ir (0.0000, 0.0000, 0.0000)  4 Te 2.56
Si (0.2500, 0.7500, 0.5000)  4 Te 2.71
Si (0.5000, 0.5000, 0.0000)  4 Te 2.71
Te (0.3750, 0.3529, 0.7500)  2 Ir 2.56, 2 Si 2.71
Te (0.6471, 0.1250, 0.2500)  2 Ir 2.56, 2 Si 2.71
Te (0.1029, 0.6250, 0.2500)  2 Ir 2.56, 2 Si 2.71
Te (0.8750, 0.8971, 0.7500)  2 Ir 2.56, 2 Si 2.71


(3)
Material: ScPtO2F
Method: DFT, PBE-GGA
State: relaxed

* space-group type: No. 123
* total moment: 0.11 μB per atom
* E: -5.7213 eV/atom

Unit cell a=4.0488 b=4.0488 c=4.2068 alpha=90.00 beta=90.00 gamma=90.00
Last column: nearest neighbours and their distance in Å.
Fractional positions:
O (0.5000, 0.0000, 0.0000)  2 Pt 2.02
O (0.0000, 0.5000, 0.0000)  2 Pt 2.02
Sc (0.5000, 0.5000, 0.5000)  4 F 2.86, 8 O 2.92
Pt (0.0000, 0.0000, 0.0000)  4 O 2.02, 2 F 2.10
F (0.0000, 0.0000, 0.5000)  2 Pt 2.10


(4)
Material: SbNOF2
Method: DFT, PBE-GGA
State: relaxed

* space-group type: No. 123
* total moment: 0.25 μB per atom
* E: -3.7576 eV/atom

Unit cell a=3.7122 b=4.5498 c=3.7122 alpha=90.00 beta=90.00 gamma=90.00
Last column: nearest neighbours and their distance in Å.
Fractional positions:
F (0.5000, 0.0000, 0.0000)  2 O 1.86
F (0.0000, 0.0000, 0.5000)  2 O 1.86
N (0.5000, 0.5000, 0.5000)  4 Sb 2.62, 8 F 2.94
Sb (0.0000, 0.5000, 0.0000)  2 O 2.27
O (0.0000, 0.0000, 0.0000)  4 F 1.86


(5)
Material: Pm10DyTm6
Method: DFT, PBE-GGA
State: relaxed

* space-group type: No. 162
* energy of formation from the pure elements: 2.19 eV per formula unit
* total moment: 0.00 μB per atom

Unit cell a=6.8518 b=9.7569 c=9.7569 alpha=120.00 beta=90.00 gamma=90.00
Last column: nearest neighbours and their distance in Å.
Fractional positions:
Tm (0.3119, 0.3695, 0.0000)  7 Pm 3.35-3.58, 1 Tm 3.62
Tm (0.3119, 0.0000, 0.3695)  7 Pm 3.35-3.58, 1 Tm 3.62
Tm (0.6881, 0.0000, 0.6305)  7 Pm 3.35-3.58, 1 Tm 3.62
Tm (0.3119, 0.6305, 0.6305)  7 Pm 3.35-3.58, 1 Tm 3.62
Tm (0.6881, 0.3695, 0.3695)  7 Pm 3.35-3.58, 1 Tm 3.62
Tm (0.6881, 0.6305, 0.0000)  7 Pm 3.35-3.58, 1 Tm 3.62
Pm (0.0000, 0.6667, 0.3333)  8 Pm 3.43-3.78, 6 Tm 3.76
Pm (0.8172, 0.2762, 0.0000)  5 Tm 3.37-3.58, 1 Dy 3.46, 2 Pm 3.68
Pm (0.0000, 0.3333, 0.6667)  8 Pm 3.43-3.78, 6 Tm 3.76
Pm (0.1828, 0.2762, 0.2762)  5 Tm 3.37-3.58, 1 Dy 3.46, 2 Pm 3.68
Pm (0.1828, 0.7238, 0.0000)  5 Tm 3.37-3.58, 1 Dy 3.46, 2 Pm 3.68
Pm (0.1828, 0.0000, 0.7238)  5 Tm 3.37-3.58, 1 Dy 3.46, 2 Pm 3.68
Pm (0.5000, 0.3333, 0.6667)  6 Tm 3.35, 2 Pm 3.43
Pm (0.8172, 0.0000, 0.2762)  5 Tm 3.37-3.58, 1 Dy 3.46, 2 Pm 3.68
Pm (0.5000, 0.6667, 0.3333)  6 Tm 3.35, 2 Pm 3.43
Pm (0.8172, 0.7238, 0.7238)  5 Tm 3.37-3.58, 1 Dy 3.46, 2 Pm 3.68
Dy (0.5000, 0.0000, 0.0000)  6 Pm 3.46, 6 Tm 3.83


(6)
Material: Mg2InRh
Method: DFT, PBE-GGA
State: relaxed

* space-group type: No. 122
* energy of formation from the pure elements: 0.08 eV per formula unit
* total moment: 0.00 μB per atom

Unit cell a=4.0318 b=4.0318 c=10.2311 alpha=78.64 beta=78.64 gamma=90.00
Last column: nearest neighbours and their distance in Å.
Fractional positions:
In (0.7500, 0.2500, 0.5000)  4 Rh 2.85, 4 Mg 2.87
In (0.0000, 0.0000, 0.0000)  4 Rh 2.85, 4 Mg 2.87
Rh (0.2500, 0.7500, 0.5000)  4 Mg 2.82, 4 In 2.85
Rh (0.5000, 0.5000, 0.0000)  4 Mg 2.82, 4 In 2.85
Mg (0.1420, 0.6250, 0.2500)  4 Mg 2.76-2.95, 2 Rh 2.82, 2 In 2.87
Mg (0.6080, 0.1250, 0.2500)  4 Mg 2.76-2.95, 2 Rh 2.82, 2 In 2.87
Mg (0.3750, 0.3920, 0.7500)  4 Mg 2.76-2.95, 2 Rh 2.82, 2 In 2.87
Mg (0.8750, 0.8580, 0.7500)  4 Mg 2.76-2.95, 2 Rh 2.82, 2 In 2.87